P.
A relaxed TaIr2Ru crystal, computed with PBE.

Structure (POSCAR):
```
TaIr2Ru
1.0
-3.619 -2.114 -1.486
-0.108 -4.445 -0.069
-2.611 -2.205 2.844
Ru Ir Ta
1 2 1
direct
0.500 0.500 0.500
0.250 0.250 0.250
0.000 0.000 0.000
0.750 0.750 0.750
```

Results
The calculation puts the density of states at the Fermi level at 8.1 states/eV/cell. As for the space group: No. 216.

---

Q.
A relaxed TaIr2Ru crystal, computed with PBE.

Structure (POSCAR):
```
TaIr2Ru
1.0
2.777 0.005 0.000
-0.007 2.777 0.000
0.000 0.000 7.854
Ru Ir Ta
1 2 1
direct
0.500 0.500 0.250
0.000 0.000 0.490
0.000 0.000 0.010
0.500 0.500 0.750
```

Results
The calculation puts the density of states at the Fermi level at 3.6 states/eV/cell. As for the space group: No. 123.

---

R.
A relaxed TaIr2Ru crystal, computed with PBE.

Structure (POSCAR):
```
TaIr2Ru
1.0
-0.256 4.634 1.206
1.019 0.480 4.661
2.313 -2.247 -3.556
Ta Ir Ru
1 2 1
direct
0.250 0.750 0.500
0.750 0.250 0.500
0.000 0.000 0.000
0.500 0.500 0.000
```

Results
The calculation puts the density of states at the Fermi level at 3.2 states/eV/cell. As for the space group: No. 22.

---

The structure with the greatest stability is R.

---

P.
A relaxed TaIrRu crystal, computed with PBE.

Structure (POSCAR):
```
TaIrRu
1.0
-3.657 2.096 -0.570
-1.587 0.481 -3.917
-3.507 -2.115 -1.148
Ta Ru Ir
1 1 1
direct
0.750 0.750 0.750
0.500 0.500 0.500
0.000 0.000 0.000
```

Results
The calculation puts the density of states at the Fermi level at 2.2 states/eV/cell. As for the space group: No. 216.

---

Q.
A relaxed TaIrRu crystal, computed with PBE.

Structure (POSCAR):
```
TaIrRu
1.0
4.428 0.000 0.000
0.000 5.467 0.000
0.000 0.000 7.670
Ir Ru Ta
4 4 4
direct
0.500 0.750 0.750
0.000 0.250 0.250
0.500 0.250 0.750
0.000 0.750 0.250
0.000 0.000 0.584
0.000 0.500 0.916
0.500 0.500 0.416
0.500 0.000 0.084
0.500 0.000 0.417
0.000 0.000 0.917
0.000 0.500 0.583
0.500 0.500 0.083
```

Results
The calculation puts the density of states at the Fermi level at 4.4 states/eV/cell. As for the space group: No. 194.

---

The structure with the greatest stability is Q.

---

P.
A relaxed TaIrRu crystal, computed with PBE.

Structure (POSCAR):
```
TaIrRu
1.0
-1.265 -3.976 -1.432
2.012 2.798 -2.753
2.464 -1.049 0.735
Ir Ru Ta
1 1 1
direct
0.000 0.000 0.000
0.667 0.333 0.500
0.333 0.667 0.500
```

Results
The calculation puts the density of states at the Fermi level at 2.3 states/eV/cell. As for the space group: No. 187.

---

Q.
A relaxed TaIrRu crystal, computed with PBE.

Structure (POSCAR):
```
TaIrRu
1.0
-3.488 -2.729 0.397
3.324 -4.331 -0.568
2.260 1.260 3.618
Ta Ru Ir
2 2 2
direct
0.666 0.750 0.833
0.334 0.250 0.167
0.000 0.500 0.500
0.000 0.000 0.500
0.667 0.250 0.834
0.333 0.750 0.166
```

Results
The calculation puts the density of states at the Fermi level at 3.6 states/eV/cell. As for the space group: No. 194.

---

The structure with the greatest stability is Q.

---

P.
A relaxed TaIrRu crystal, computed with PBE.

Structure (POSCAR):
```
TaIrRu
1.0
6.298 0.015 -0.016
5.676 2.730 -0.017
0.622 0.147 2.712
Ta Ru Ir
1 1 1
direct
0.666 0.666 0.334
0.338 0.338 0.662
0.996 0.996 0.004
```

Results
The calculation puts the density of states at the Fermi level at 4.0 states/eV/cell. As for the space group: No. 107.

---

Q.
A relaxed TaIrRu crystal, computed with PBE.

Structure (POSCAR):
```
TaIrRu
1.0
-3.867 -2.949 0.501
-1.280 -3.137 -3.524
3.507 1.481 3.068
Ru Ir Ta
1 1 1
direct
0.337 0.337 0.000
0.996 0.996 0.000
0.667 0.667 0.000
```

Results
The calculation puts the density of states at the Fermi level at 4.0 states/eV/cell. As for the space group: No. 44.

---

The structure with the greatest stability is Q.

---

P.
A relaxed TaIrRu crystal, computed with PBE.

Structure (POSCAR):
```
TaIrRu
1.0
2.799 0.000 0.000
-1.400 2.424 0.000
0.000 0.000 6.858
Ta Ir Ru
1 1 1
direct
0.333 0.667 0.667
0.000 0.000 0.002
0.667 0.333 0.331
```

Results
The calculation puts the density of states at the Fermi level at 3.9 states/eV/cell. As for the space group: No. 156.

---

Q.
A relaxed TaIrRu crystal, computed with PBE.

Structure (POSCAR):
```
TaIrRu
1.0
-2.554 -2.624 2.215
-0.800 -3.943 -1.459
1.649 -3.400 2.008
Ir Ru Ta
1 1 1
direct
0.750 0.750 0.750
0.000 0.000 0.000
0.500 0.500 0.500
```

Results
The calculation puts the density of states at the Fermi level at 4.4 states/eV/cell. As for the space group: No. 216.

---

The structure with the greatest stability is P.

---

P.
A relaxed TaIrRu3 crystal, computed with PBE.

Structure (POSCAR):
```
TaIrRu3
1.0
4.620 0.000 0.000
0.000 4.620 0.000
0.000 0.000 4.620
Ru Ir Ta
3 1 1
direct
0.000 0.000 0.500
0.500 0.000 0.000
0.000 0.500 0.000
0.000 0.000 0.000
0.500 0.500 0.500
```

Results
The calculation puts the density of states at the Fermi level at 10.1 states/eV/cell. As for the space group: No. 221.

---

Q.
A relaxed TaIrRu3 crystal, computed with PBE.

Structure (POSCAR):
```
TaIrRu3
1.0
-4.319 1.182 1.142
-1.557 -1.913 -3.908
-0.527 -4.037 2.186
Ir Ru Ta
1 3 1
direct
0.500 0.500 0.500
0.000 0.000 0.500
0.000 0.500 0.000
0.500 0.000 0.000
0.000 0.000 0.000
```

Results
The calculation puts the density of states at the Fermi level at 7.9 states/eV/cell. As for the space group: No. 221.

---

The structure with the greatest stability is P.

---

P.
A relaxed Ta3IrRu2 crystal, computed with PBE.

Structure (POSCAR):
```
Ta3IrRu2
1.0
-1.799 1.778 -1.627
-1.965 0.092 2.274
4.967 8.629 3.942
Ta Ru Ir
3 2 1
direct
0.000 0.000 0.000
0.000 0.000 0.325
0.000 0.000 0.675
0.500 0.500 0.152
0.500 0.500 0.848
0.500 0.500 0.500
```

Results
The calculation puts the density of states at the Fermi level at 5.7 states/eV/cell. As for the space group: No. 123.

---

Q.
A relaxed Ta3IrRu2 crystal, computed with PBE.

Structure (POSCAR):
```
Ta3IrRu2
1.0
-1.282 3.632 -1.731
-4.558 -1.397 -4.706
-5.239 0.499 4.927
Ir Ta Ru
2 6 4
direct
0.332 0.336 0.000
0.668 0.664 0.000
0.833 0.334 0.743
0.167 0.666 0.257
0.167 0.666 0.743
0.833 0.334 0.257
0.500 0.000 0.253
0.500 0.000 0.747
0.334 0.333 0.500
0.666 0.667 0.500
0.000 0.000 0.000
0.000 0.000 0.500
```

Results
The calculation puts the density of states at the Fermi level at 13.4 states/eV/cell. As for the space group: No. 65.

---

The structure with the greatest stability is P.

---

P.
A relaxed TaIr3Ru crystal, computed with PBE.

Structure (POSCAR):
```
TaIr3Ru
1.0
-4.281 0.902 1.509
0.045 -3.915 2.468
1.757 2.298 3.613
Ru Ir Ta
1 3 1
direct
0.000 0.000 0.000
0.000 0.500 0.000
0.500 0.000 0.000
0.000 0.000 0.500
0.500 0.500 0.500
```

Results
The calculation puts the density of states at the Fermi level at 8.1 states/eV/cell. As for the space group: No. 221.

---

Q.
A relaxed TaIr3Ru crystal, computed with PBE.

Structure (POSCAR):
```
TaIr3Ru
1.0
4.732 0.000 0.000
0.000 4.732 0.000
0.000 0.000 4.732
Ir Ta Ru
3 1 1
direct
0.000 0.500 0.000
0.500 0.000 0.000
0.000 0.000 0.500
0.000 0.000 0.000
0.500 0.500 0.500
```

Results
The calculation puts the density of states at the Fermi level at 5.9 states/eV/cell. As for the space group: No. 221.

---

The structure with the greatest stability is P.